## Tl2VFe3F12 (GGA+U)

Data for a geometry-optimized Tl2VFe3F12 structure.

Its density of states at the Fermi level is 11.86 states/eV per cell. The total energy comes out at -5.273 eV/atom. The calculated volume comes out at 296 Å³ per cell.

```
Tl2VFe3F12
1.0
-0.0103 -5.7645 4.8614
5.7486 -4.8731 0.2644
4.7163 -0.1335 5.8823
Tl V Fe F
2 1 3 12
Cartesian
6.3637 -6.5563 6.7006
4.0909 -4.2148 4.3075
0.0000 0.0000 0.0000
-0.0051 -2.8823 2.4307
2.8743 -2.4366 0.1322
2.3582 -0.0667 2.9412
6.2258 -3.6050 7.1002
6.8297 -9.9658 6.6233
9.7596 -6.4752 7.2561
3.4160 -6.9526 6.4933
6.1898 -7.0278 10.1057
6.8395 -6.4227 3.7604
4.2288 -7.1661 3.9079
3.6249 -0.8053 4.3848
0.6950 -4.2959 3.7520
7.0386 -3.8185 4.5148
4.2648 -3.7433 0.9024
3.6151 -4.3484 7.2477
```